{
  "formula": "Tb2ErTl3",
  "functional": "PBE",
  "state": "optimized geometry",
  "cell": [[3.645, 0.000, 0.000], [0.000, 3.645, 0.000], [0.000, 0.000, 12.194]],
  "species": ["Tb", "Tb", "Er", "Tl", "Tl", "Tl"],
  "fractional_positions": [[0.000, 0.000, 0.168], [0.000, 0.000, 0.832], [0.000, 0.000, 0.500], [0.500, 0.500, 0.000], [0.500, 0.500, 0.336], [0.500, 0.500, 0.664]],
  "sg": "P4/mmm, No. 123",
  "dft_energy_ev_per_cell": -22.9,
  "total_magnetization_mub_per_cell": 0.08
}

---

{
  "formula": "La3NdI2N2",
  "functional": "PBE",
  "state": "optimized geometry",
  "cell": [[3.843, 0.000, 0.000], [-1.921, 3.328, 0.000], [0.000, 0.000, 15.510]],
  "species": ["La", "La", "La", "Nd", "I", "I", "N", "N"],
  "fractional_positions": [[0.000, 0.000, 0.000], [0.000, 0.000, 0.329], [0.333, 0.667, 0.503], [0.333, 0.667, 0.830], [0.000, 0.000, 0.670], [0.333, 0.667, 0.165], [0.667, 0.333, 0.416], [0.667, 0.333, 0.911]],
  "sg": "P3m1, No. 156",
  "dft_energy_ev_per_cell": -49.5,
  "total_magnetization_mub_per_cell": 0.01
}

---

{
  "formula": "Bi2Pt",
  "functional": "PBE",
  "state": "optimized geometry",
  "cell": [[6.824, 0.000, 0.000], [0.000, 6.880, 0.000], [0.000, 0.000, 13.534]],
  "species": ["Bi", "Bi", "Bi", "Bi", "Bi", "Bi", "Bi", "Bi", "Bi", "Bi", "Bi", "Bi", "Bi", "Bi", "Bi", "Bi", "Pt", "Pt", "Pt", "Pt", "Pt", "Pt", "Pt", "Pt"],
  "fractional_positions": [[0.128, 0.038, 0.186], [0.128, 0.462, 0.686], [0.140, 0.694, 0.936], [0.140, 0.806, 0.436], [0.360, 0.194, 0.936], [0.360, 0.306, 0.436], [0.372, 0.538, 0.186], [0.372, 0.962, 0.686], [0.628, 0.038, 0.314], [0.628, 0.462, 0.814], [0.640, 0.694, 0.564], [0.640, 0.806, 0.064], [0.860, 0.194, 0.564], [0.860, 0.306, 0.064], [0.872, 0.538, 0.314], [0.872, 0.962, 0.814], [0.002, 0.666, 0.130], [0.002, 0.834, 0.630], [0.498, 0.166, 0.130], [0.498, 0.334, 0.630], [0.502, 0.666, 0.370], [0.502, 0.834, 0.870], [0.998, 0.166, 0.370], [0.998, 0.334, 0.870]],
  "sg": "Pbca, No. 61",
  "dft_energy_ev_per_cell": -119.2,
  "total_magnetization_mub_per_cell": 0.01
}

---

{
  "formula": "BaPPdO",
  "functional": "PBE",
  "state": "optimized geometry",
  "cell": [[4.348, 0.000, 0.000], [0.000, 4.348, 0.000], [0.000, 0.000, 9.442]],
  "species": ["Ba", "Ba", "P", "P", "Pd", "Pd", "O", "O"],
  "fractional_positions": [[0.250, 0.250, 0.137], [0.750, 0.750, 0.863], [0.250, 0.250, 0.609], [0.750, 0.750, 0.391], [0.250, 0.750, 0.500], [0.750, 0.250, 0.500], [0.250, 0.750, 0.000], [0.750, 0.250, 0.000]],
  "sg": "P4/nmm, No. 129",
  "de_polymorph_mev_per_atom": 0
}